Record 1
Below is NaI2N2 at its PBEsol-relaxed geometry, with properties calculated at the meta-GGA SCAN level.

Unit cell a=4.090 b=4.090 c=7.360 alpha=90.00 beta=90.00 gamma=90.00
Sites, in units of the cell vectors:
Na  0.000  0.000  0.000
I  0.500  0.500  0.000
I  0.500  0.500  0.500
N  0.000  0.500  0.500
N  0.500  0.000  0.500

## Properties
Formation energy without anion corrections   1.198 eV/atom
Energy   -90.289 eV/cell

Record 2
Below is NaIN3 at its PBEsol-relaxed geometry, with properties calculated at the meta-GGA SCAN level.

Unit cell a=4.545 b=4.545 c=4.545 alpha=90.00 beta=90.00 gamma=90.00
Sites, in units of the cell vectors:
Na  0.000  0.000  0.000
I  0.500  0.500  0.500
N  0.000  0.000  0.500
N  0.000  0.500  0.000
N  0.500  0.000  0.000

## Properties
Formation energy without anion corrections   2.400 eV/atom
Energy   -56.830 eV/cell

Record 3
Below is NaIN2 at its PBEsol-relaxed geometry, with properties calculated at the meta-GGA SCAN level.

Unit cell a=6.522 b=6.522 c=6.522 alpha=133.38 beta=133.38 gamma=68.05
Sites, in units of the cell vectors:
Na  0.000  0.000  0.000
Na  0.750  0.250  0.500
I  0.250  0.750  0.500
I  0.500  0.500  0.000
N  0.190  0.625  0.065
N  0.375  0.440  0.565
N  0.560  0.125  0.935
N  0.875  0.810  0.435

## Properties
Formation energy without anion corrections   1.178 eV/atom
Energy   -109.657 eV/cell

Record 4
Below is NaNd4I7N2 at its PBEsol-relaxed geometry, with properties calculated at the meta-GGA SCAN level.

Unit cell a=13.998 b=10.805 c=11.864 alpha=90.00 beta=90.00 gamma=90.00
Sites, in units of the cell vectors:
Na  0.099  0.053  0.000
Na  0.401  0.553  0.500
Na  0.599  0.447  0.000
Na  0.901  0.947  0.500
Nd  0.085  0.374  0.325
Nd  0.087  0.624  0.560
Nd  0.088  0.392  0.802
Nd  0.104  0.587  0.066
Nd  0.396  0.087  0.566
Nd  0.412  0.892  0.302
Nd  0.413  0.124  0.060
Nd  0.415  0.874  0.825
Nd  0.585  0.126  0.325
Nd  0.587  0.876  0.560
Nd  0.588  0.108  0.802
Nd  0.604  0.913  0.066
Nd  0.896  0.413  0.566
Nd  0.912  0.608  0.302
Nd  0.913  0.376  0.060
Nd  0.915  0.626  0.825
I  0.018  0.853  0.706
I  0.025  0.184  0.535
I  0.052  0.824  0.357
I  0.207  0.313  0.043
I  0.229  0.630  0.833
I  0.232  0.398  0.575
I  0.249  0.072  0.783
I  0.251  0.572  0.283
I  0.268  0.898  0.075
I  0.271  0.130  0.333
I  0.293  0.813  0.543
I  0.448  0.324  0.857
I  0.475  0.684  0.035
I  0.482  0.353  0.206
I  0.518  0.647  0.706
I  0.525  0.316  0.535
I  0.552  0.676  0.357
I  0.707  0.187  0.043
I  0.729  0.870  0.833
I  0.732  0.102  0.575
I  0.749  0.428  0.783
I  0.751  0.928  0.283
I  0.768  0.602  0.075
I  0.771  0.370  0.333
I  0.793  0.687  0.543
I  0.948  0.176  0.857
I  0.975  0.816  0.035
I  0.982  0.147  0.206
N  0.004  0.486  0.188
N  0.004  0.495  0.938
N  0.496  0.986  0.688
N  0.496  0.995  0.438
N  0.504  0.005  0.938
N  0.504  0.014  0.188
N  0.996  0.505  0.438
N  0.996  0.514  0.688

## Properties
Formation energy without anion corrections   -1.668 eV/atom
Energy   -1910.690 eV/cell

Record 5
Below is NaI2NO at its PBEsol-relaxed geometry, with properties calculated at the meta-GGA SCAN level.

Unit cell a=5.782 b=5.782 c=4.552 alpha=90.00 beta=90.00 gamma=90.00
Sites, in units of the cell vectors:
Na  0.000  0.000  0.000
I  0.000  0.500  0.000
I  0.500  0.000  0.000
N  0.000  0.000  0.500
O  0.500  0.500  0.500

## Properties
Formation energy without anion corrections   1.161 eV/atom
Energy   -87.416 eV/cell

Record 6
Below is NaINO2 at its PBEsol-relaxed geometry, with properties calculated at the meta-GGA SCAN level.

Unit cell a=4.084 b=4.084 c=4.149 alpha=90.00 beta=90.00 gamma=90.00
Sites, in units of the cell vectors:
Na  0.000  0.000  0.000
I  0.500  0.500  0.500
N  0.000  0.000  0.500
O  0.000  0.500  0.000
O  0.500  0.000  0.000

## Properties
Formation energy without anion corrections   1.299 eV/atom
Energy   -56.213 eV/cell

> Which of these has the lowest formation energy without anion corrections?

NaNd4I7N2